[1]
# TeOs3I

A relaxed TeOs3I crystal (GGA-PBE, Alexandria via LeMat-Bulk).

a b c (Å): 4.930 4.930 4.930
angles (deg): 90.00 90.00 90.00
Positions (direct):
Te  0.000  0.000  0.000
Os  0.000  0.000  0.500
Os  0.000  0.500  0.000
Os  0.500  0.000  0.000
I  0.500  0.500  0.500

Output
Calculated volume in Å³ per atom: 23.97
M_tot in μB/cell: 3.49
Polymorph energy (0 for the lowest one) in meV/atom: 0
Symmetry: Pm-3m, No. 221
Formation energy (no corrections) in eV/atom: 2.5677
Raw total energy in eV for the cell shown: -25.54

***

[2]
# TeOsI2

A relaxed TeOsI2 crystal (GGA-PBE, Alexandria via LeMat-Bulk).

a b c (Å): 6.972 6.972 6.972
angles (deg): 114.16 114.16 100.45
Positions (direct):
Te  0.000  0.000  0.000
Te  0.750  0.250  0.500
Os  0.250  0.750  0.500
Os  0.500  0.500  0.000
I  0.199  0.625  0.074
I  0.375  0.449  0.574
I  0.551  0.125  0.926
I  0.875  0.801  0.426

Output
Calculated volume in Å³ per atom: 32.01
M_tot in μB/cell: 0.00
Polymorph energy (0 for the lowest one) in meV/atom: 0
Symmetry: I-42d, No. 122
Formation energy (no corrections) in eV/atom: 0.9700
Raw total energy in eV for the cell shown: -27.18

***

[3]
# Te2OsI

A relaxed Te2OsI crystal (GGA-PBE, Alexandria via LeMat-Bulk).

a b c (Å): 5.090 5.090 5.090
angles (deg): 60.00 60.00 60.00
Positions (direct):
Te  0.250  0.250  0.250
Te  0.750  0.750  0.750
Os  0.000  0.000  0.000
I  0.500  0.500  0.500

Output
Calculated volume in Å³ per atom: 23.32
M_tot in μB/cell: 0.00
Polymorph energy (0 for the lowest one) in meV/atom: 1032
Symmetry: Fm-3m, No. 225
Formation energy (no corrections) in eV/atom: 1.1470
Raw total energy in eV for the cell shown: -14.48

***

[4]
# Te3OsI

A relaxed Te3OsI crystal (GGA-PBE, Alexandria via LeMat-Bulk).

a b c (Å): 5.300 5.300 5.300
angles (deg): 90.00 90.00 90.00
Positions (direct):
Te  0.000  0.000  0.500
Te  0.000  0.500  0.000
Te  0.500  0.000  0.000
Os  0.000  0.000  0.000
I  0.500  0.500  0.500

Output
Calculated volume in Å³ per atom: 29.78
M_tot in μB/cell: 0.00
Polymorph energy (0 for the lowest one) in meV/atom: 0
Symmetry: Pm-3m, No. 221
Formation energy (no corrections) in eV/atom: 0.5902
Raw total energy in eV for the cell shown: -19.25

***

[5]
# TeOsI2

A relaxed TeOsI2 crystal (GGA-PBE, Alexandria via LeMat-Bulk).

a b c (Å): 5.236 5.236 5.236
angles (deg): 60.00 60.00 60.00
Positions (direct):
Te  0.000  0.000  0.000
Os  0.500  0.500  0.500
I  0.250  0.250  0.250
I  0.750  0.750  0.750

Output
Calculated volume in Å³ per atom: 25.37
M_tot in μB/cell: 2.10
Polymorph energy (0 for the lowest one) in meV/atom: 548
Symmetry: Fm-3m, No. 225
Formation energy (no corrections) in eV/atom: 1.5182
Raw total energy in eV for the cell shown: -11.40

***

[6]
# Te2OsI

A relaxed Te2OsI crystal (GGA-PBE, Alexandria via LeMat-Bulk).

a b c (Å): 7.377 7.377 7.377
angles (deg): 120.23 120.23 89.61
Positions (direct):
Te  0.027  0.625  0.902
Te  0.375  0.277  0.402
Te  0.723  0.125  0.098
Te  0.875  0.973  0.598
Os  0.000  0.000  0.000
Os  0.750  0.250  0.500
I  0.250  0.750  0.500
I  0.500  0.500  0.000

Output
Calculated volume in Å³ per atom: 35.36
M_tot in μB/cell: 0.00
Polymorph energy (0 for the lowest one) in meV/atom: 257
Symmetry: I-42d, No. 122
Formation energy (no corrections) in eV/atom: 0.3718
Raw total energy in eV for the cell shown: -35.15

***

[7]
# TiTe2OsI

A relaxed TiTe2OsI crystal (GGA-PBE, Alexandria via LeMat-Bulk).

a b c (Å): 5.193 5.193 5.368
angles (deg): 90.00 90.00 90.00
Positions (direct):
Ti  0.000  0.000  0.000
Te  0.000  0.500  0.500
Te  0.500  0.000  0.500
Os  0.500  0.500  0.500
I  0.500  0.500  0.000

Output
Calculated volume in Å³ per atom: 28.96
M_tot in μB/cell: 0.15
Polymorph energy (0 for the lowest one) in meV/atom: 0
Symmetry: P4/mmm, No. 123
Formation energy (no corrections) in eV/atom: 0.9855
Raw total energy in eV for the cell shown: -22.03

***

[8]
# TiTe2OsI

A relaxed TiTe2OsI crystal (GGA-PBE, Alexandria via LeMat-Bulk).

a b c (Å): 5.299 5.299 5.449
angles (deg): 90.00 90.00 90.00
Positions (direct):
Ti  0.000  0.000  0.000
Te  0.000  0.500  0.000
Te  0.500  0.000  0.000
Os  0.500  0.500  0.500
I  0.000  0.000  0.500

Output
Calculated volume in Å³ per atom: 30.59
M_tot in μB/cell: 4.38
Polymorph energy (0 for the lowest one) in meV/atom: 153
Symmetry: P4/mmm, No. 123
Formation energy (no corrections) in eV/atom: 1.1384
Raw total energy in eV for the cell shown: -21.27

***

[9]
# TlTeOsI2

A relaxed TlTeOsI2 crystal (GGA-PBE, Alexandria via LeMat-Bulk).

a b c (Å): 6.004 6.004 5.834
angles (deg): 90.00 90.00 90.00
Positions (direct):
Tl  0.000  0.000  0.000
Te  0.000  0.000  0.500
Os  0.500  0.500  0.500
I  0.000  0.500  0.000
I  0.500  0.000  0.000

Output
Calculated volume in Å³ per atom: 42.07
M_tot in μB/cell: 5.18
Polymorph energy (0 for the lowest one) in meV/atom: 1241
Symmetry: P4/mmm, No. 123
Formation energy (no corrections) in eV/atom: 1.5487
Raw total energy in eV for the cell shown: -12.09

***

[10]
# TlTeOsI2

A relaxed TlTeOsI2 crystal (GGA-PBE, Alexandria via LeMat-Bulk).

a b c (Å): 5.790 5.790 4.994
angles (deg): 90.00 90.00 90.00
Positions (direct):
Tl  0.000  0.000  0.000
Te  0.500  0.500  0.000
Os  0.500  0.500  0.500
I  0.000  0.500  0.500
I  0.500  0.000  0.500

Output
Calculated volume in Å³ per atom: 33.49
M_tot in μB/cell: 0.00
Polymorph energy (0 for the lowest one) in meV/atom: 0
Symmetry: P4/mmm, No. 123
Formation energy (no corrections) in eV/atom: 0.3082
Raw total energy in eV for the cell shown: -18.30

***

[11]
# Te2OsWI

A relaxed Te2OsWI crystal (GGA-PBE, Alexandria via LeMat-Bulk).

a b c (Å): 5.187 5.187 5.344
angles (deg): 90.00 90.00 90.00
Positions (direct):
Te  0.000  0.500  0.000
Te  0.500  0.000  0.000
Os  0.000  0.000  0.000
W  0.500  0.500  0.500
I  0.000  0.000  0.500

Output
Calculated volume in Å³ per atom: 28.76
M_tot in μB/cell: 2.63
Polymorph energy (0 for the lowest one) in meV/atom: 0
Symmetry: P4/mmm, No. 123
Formation energy (no corrections) in eV/atom: 1.7006
Raw total energy in eV for the cell shown: -23.51

***

[12]
# TeOsWI2

A relaxed TeOsWI2 crystal (GGA-PBE, Alexandria via LeMat-Bulk).

a b c (Å): 5.406 5.406 5.134
angles (deg): 90.00 90.00 90.00
Positions (direct):
Te  0.000  0.000  0.000
Os  0.000  0.000  0.500
W  0.500  0.500  0.000
I  0.000  0.500  0.500
I  0.500  0.000  0.500

Output
Calculated volume in Å³ per atom: 30.01
M_tot in μB/cell: 3.74
Polymorph energy (0 for the lowest one) in meV/atom: 0
Symmetry: P4/mmm, No. 123
Formation energy (no corrections) in eV/atom: 1.7585
Raw total energy in eV for the cell shown: -21.63

***

[13]
# TeOsWI2

A relaxed TeOsWI2 crystal (GGA-PBE, Alexandria via LeMat-Bulk).

a b c (Å): 5.571 5.571 5.226
angles (deg): 90.00 90.00 90.00
Positions (direct):
Te  0.000  0.000  0.000
Os  0.500  0.500  0.000
W  0.000  0.000  0.500
I  0.000  0.500  0.500
I  0.500  0.000  0.500

Output
Calculated volume in Å³ per atom: 32.44
M_tot in μB/cell: 2.42
Polymorph energy (0 for the lowest one) in meV/atom: 65
Symmetry: P4/mmm, No. 123
Formation energy (no corrections) in eV/atom: 1.8240
Raw total energy in eV for the cell shown: -21.30

***

[14]
# YTeOsI2

A relaxed YTeOsI2 crystal (GGA-PBE, Alexandria via LeMat-Bulk).

a b c (Å): 5.308 5.308 5.335
angles (deg): 90.00 90.00 90.00
Positions (direct):
Y  0.000  0.000  0.000
Te  0.500  0.500  0.000
Os  0.500  0.500  0.500
I  0.000  0.500  0.500
I  0.500  0.000  0.500

Output
Calculated volume in Å³ per atom: 30.06
M_tot in μB/cell: 0.00
Polymorph energy (0 for the lowest one) in meV/atom: 80
Symmetry: P4/mmm, No. 123
Formation energy (no corrections) in eV/atom: 0.3336
Raw total energy in eV for the cell shown: -22.27

***

[15]
# YTeOsI2

A relaxed YTeOsI2 crystal (GGA-PBE, Alexandria via LeMat-Bulk).

a b c (Å): 5.195 5.195 5.755
angles (deg): 90.00 90.00 90.00
Positions (direct):
Y  0.000  0.000  0.000
Te  0.500  0.500  0.000
Os  0.000  0.000  0.500
I  0.000  0.500  0.500
I  0.500  0.000  0.500

Output
Calculated volume in Å³ per atom: 31.06
M_tot in μB/cell: 0.00
Polymorph energy (0 for the lowest one) in meV/atom: 0
Symmetry: P4/mmm, No. 123
Formation energy (no corrections) in eV/atom: 0.2536
Raw total energy in eV for the cell shown: -22.67

***

[16]
# YTe2OsI

A relaxed YTe2OsI crystal (GGA-PBE, Alexandria via LeMat-Bulk).

a b c (Å): 5.273 5.273 5.332
angles (deg): 90.00 90.00 90.00
Positions (direct):
Y  0.000  0.000  0.000
Te  0.000  0.500  0.500
Te  0.500  0.000  0.500
Os  0.500  0.500  0.500
I  0.500  0.500  0.000

Output
Calculated volume in Å³ per atom: 29.64
M_tot in μB/cell: 0.00
Polymorph energy (0 for the lowest one) in meV/atom: 0
Symmetry: P4/mmm, No. 123
Formation energy (no corrections) in eV/atom: 0.2695
Raw total energy in eV for the cell shown: -24.18

***

[17]
# ZnTeOsI2

A relaxed ZnTeOsI2 crystal (GGA-PBE, Alexandria via LeMat-Bulk).

a b c (Å): 5.663 5.663 4.996
angles (deg): 90.00 90.00 90.00
Positions (direct):
Zn  0.000  0.000  0.000
Te  0.500  0.500  0.000
Os  0.500  0.500  0.500
I  0.000  0.500  0.500
I  0.500  0.000  0.500

Output
Calculated volume in Å³ per atom: 32.05
M_tot in μB/cell: 0.00
Polymorph energy (0 for the lowest one) in meV/atom: 0
Symmetry: P4/mmm, No. 123
Formation energy (no corrections) in eV/atom: 0.6447
Raw total energy in eV for the cell shown: -15.52

***

[18]
# ZnTeOsI2

A relaxed ZnTeOsI2 crystal (GGA-PBE, Alexandria via LeMat-Bulk).

a b c (Å): 5.404 5.404 5.491
angles (deg): 90.00 90.00 90.00
Positions (direct):
Zn  0.000  0.000  0.000
Te  0.000  0.000  0.500
Os  0.500  0.500  0.500
I  0.000  0.500  0.000
I  0.500  0.000  0.000

Output
Calculated volume in Å³ per atom: 32.07
M_tot in μB/cell: 4.47
Polymorph energy (0 for the lowest one) in meV/atom: 747
Symmetry: P4/mmm, No. 123
Formation energy (no corrections) in eV/atom: 1.3921
Raw total energy in eV for the cell shown: -11.79

***

[19]
# ZnTe2OsI

A relaxed ZnTe2OsI crystal (GGA-PBE, Alexandria via LeMat-Bulk).

a b c (Å): 5.309 5.309 5.272
angles (deg): 90.00 90.00 90.00
Positions (direct):
Zn  0.000  0.000  0.000
Te  0.000  0.500  0.000
Te  0.500  0.000  0.000
Os  0.500  0.500  0.500
I  0.000  0.000  0.500

Output
Calculated volume in Å³ per atom: 29.71
M_tot in μB/cell: 3.69
Polymorph energy (0 for the lowest one) in meV/atom: 801
Symmetry: P4/mmm, No. 123
Formation energy (no corrections) in eV/atom: 1.4842
Raw total energy in eV for the cell shown: -12.92

***

[20]
# ZnTe2OsI

A relaxed ZnTe2OsI crystal (GGA-PBE, Alexandria via LeMat-Bulk).

a b c (Å): 5.177 5.177 5.776
angles (deg): 90.00 90.00 90.00
Positions (direct):
Zn  0.000  0.000  0.000
Te  0.000  0.500  0.500
Te  0.500  0.000  0.500
Os  0.500  0.500  0.500
I  0.500  0.500  0.000

Output
Calculated volume in Å³ per atom: 30.96
M_tot in μB/cell: 0.00
Polymorph energy (0 for the lowest one) in meV/atom: 0
Symmetry: P4/mmm, No. 123
Formation energy (no corrections) in eV/atom: 0.6836
Raw total energy in eV for the cell shown: -16.92

***

[21]
# ZrTe2OsI

A relaxed ZrTe2OsI crystal (GGA-PBE, Alexandria via LeMat-Bulk).

a b c (Å): 5.206 5.206 5.243
angles (deg): 90.00 90.00 90.00
Positions (direct):
Zr  0.000  0.000  0.000
Te  0.000  0.500  0.500
Te  0.500  0.000  0.500
Os  0.500  0.500  0.500
I  0.500  0.500  0.000

Output
Calculated volume in Å³ per atom: 28.42
M_tot in μB/cell: 0.00
Polymorph energy (0 for the lowest one) in meV/atom: 0
Symmetry: P4/mmm, No. 123
Formation energy (no corrections) in eV/atom: 0.8140
Raw total energy in eV for the cell shown: -23.54

***

[22]
# ThOsI

A relaxed ThOsI crystal (GGA-PBE, Alexandria via LeMat-Bulk).

a b c (Å): 4.323 4.323 12.534
angles (deg): 99.62 99.62 59.88
Positions (direct):
Th  0.000  0.000  0.000
Th  0.101  0.101  0.312
Os  0.383  0.383  0.156
Os  0.716  0.716  0.156
I  0.607  0.607  0.816
I  0.827  0.827  0.496

Output
Calculated volume in Å³ per atom: 33.14
M_tot in μB/cell: 0.00
Polymorph energy (0 for the lowest one) in meV/atom: 0
Symmetry: Cm, No. 8
Formation energy (no corrections) in eV/atom: -0.7016
Raw total energy in eV for the cell shown: -44.61

***

[23]
# ThOsI

A relaxed ThOsI crystal (GGA-PBE, Alexandria via LeMat-Bulk).

a b c (Å): 7.032 7.032 6.125
angles (deg): 94.63 94.63 33.10
Positions (direct):
Th  0.160  0.160  0.184
Th  0.840  0.840  0.816
Os  0.210  0.210  0.639
Os  0.790  0.790  0.361
I  0.421  0.421  0.237
I  0.579  0.579  0.763

Output
Calculated volume in Å³ per atom: 27.47
M_tot in μB/cell: 0.00
Polymorph energy (0 for the lowest one) in meV/atom: 656
Symmetry: C2/m, No. 12
Formation energy (no corrections) in eV/atom: -0.0452
Raw total energy in eV for the cell shown: -40.67

***

[24]
# ThOsI

A relaxed ThOsI crystal (GGA-PBE, Alexandria via LeMat-Bulk).

a b c (Å): 4.063 4.063 14.072
angles (deg): 92.93 92.93 59.98
Positions (direct):
Th  0.146  0.146  0.321
Th  0.854  0.854  0.679
Os  0.170  0.170  0.526
Os  0.830  0.830  0.474
I  0.460  0.460  0.156
I  0.540  0.540  0.844

Output
Calculated volume in Å³ per atom: 33.47
M_tot in μB/cell: 0.00
Polymorph energy (0 for the lowest one) in meV/atom: 285
Symmetry: C2/m, No. 12
Formation energy (no corrections) in eV/atom: -0.4167
Raw total energy in eV for the cell shown: -42.90

***

[25]
# Th3OsI3

A relaxed Th3OsI3 crystal (GGA-PBE, Alexandria via LeMat-Bulk).

a b c (Å): 9.597 4.117 12.741
angles (deg): 90.00 91.12 90.00
Positions (direct):
Th  0.079  0.250  0.391
Th  0.120  0.250  0.845
Th  0.314  0.750  0.624
Th  0.686  0.250  0.376
Th  0.880  0.750  0.155
Th  0.921  0.750  0.609
Os  0.123  0.250  0.624
Os  0.877  0.750  0.376
I  0.141  0.250  0.117
I  0.382  0.750  0.878
I  0.383  0.750  0.368
I  0.617  0.250  0.632
I  0.618  0.250  0.122
I  0.859  0.750  0.883

Output
Calculated volume in Å³ per atom: 35.95
M_tot in μB/cell: 0.00
Symmetry: P2_1/m, No. 11
Formation energy (no corrections) in eV/atom: -0.8265
Raw total energy in eV for the cell shown: -87.85

***

[26]
# TiOsI

A relaxed TiOsI crystal (GGA-PBE, Alexandria via LeMat-Bulk).

a b c (Å): 3.998 3.998 10.551
angles (deg): 94.89 94.89 70.93
Positions (direct):
Ti  0.019  0.019  0.145
Ti  0.981  0.981  0.855
Os  0.312  0.312  0.005
Os  0.688  0.688  0.995
I  0.300  0.300  0.678
I  0.700  0.700  0.322

Output
Calculated volume in Å³ per atom: 26.42
M_tot in μB/cell: 0.00
Polymorph energy (0 for the lowest one) in meV/atom: 0
Symmetry: C2/m, No. 12
Formation energy (no corrections) in eV/atom: -0.1851
Raw total energy in eV for the cell shown: -42.46

***

[27]
# TiOs2I2

A relaxed TiOs2I2 crystal (GGA-PBE, Alexandria via LeMat-Bulk).

a b c (Å): 7.100 7.100 7.100
angles (deg): 146.79 146.79 47.68
Positions (direct):
Ti  0.000  0.000  0.000
Os  0.250  0.750  0.500
Os  0.750  0.250  0.500
I  0.379  0.379  0.000
I  0.621  0.621  0.000

Output
Calculated volume in Å³ per atom: 21.39
M_tot in μB/cell: 0.00
Polymorph energy (0 for the lowest one) in meV/atom: 123
Symmetry: I4/mmm, No. 139
Formation energy (no corrections) in eV/atom: 1.4798
Raw total energy in eV for the cell shown: -26.06

***

Computed N(E_F) (states/eV per cell) in order:
5.6 5.8 2.9 6.7 3.6 4.6 9.4 6.3 5.0 3.3 5.3 5.9 4.8 3.3 5.3 6.2 4.5 5.1 7.0 5.7 5.6 6.1 5.7 5.0 9.8 2.3 6.9